Below is an optimized crystal structure of MgNbSb2I, with properties calculated at the PBE level.

## Properties
Calculated density, g/cm³: 4.85
Energy relative to the elements, uncorrected, meV/atom: 303

Unit cell a=5.346 b=5.346 c=5.839 alpha=90.00 beta=90.00 gamma=90.00
Space group P4/mmm (No. 123)
Asymmetric unit:
Mg 0.000 0.000 0.000
Nb 0.500 0.500 0.500
Sb 0.000 0.500 0.500
I 0.500 0.500 0.000


Below is an optimized crystal structure of BaSr3Ir, with properties calculated at the PBE level.

## Properties
Energy of formation, eV per atom: -0.109
Calculated density, g/cm³: 4.53

Unit cell a=9.717 b=7.921 c=14.175 alpha=90.00 beta=127.28 gamma=90.00
Space group P2_1/c (No. 14)
Asymmetric unit:
Ba 0.163 0.170 0.089
Sr 0.058 0.592 0.788
Sr 0.314 0.671 0.153
Sr 0.450 0.219 0.982
Ir 0.199 0.594 0.450